# CrCoTc2 | Alexandria | PBE | optimized geometry
data_CrCoTc2
_chemical_formula_sum 'Cr1 Co1 Tc2'
_cell_length_a 4.933
_cell_length_b 4.933
_cell_length_c 4.933
_cell_angle_alpha 144.88
_cell_angle_beta 130.29
_cell_angle_gamma 62.32
_symmetry_space_group_name_H-M 'P 1'
_symmetry_Int_Tables_number 1
loop_
_symmetry_equiv_pos_as_xyz
'x,y,z'
loop_
_atom_site_label
_atom_site_fract_x
_atom_site_fract_y
_atom_site_fract_z
Cr1 0.000 0.000 0.000
Co1 0.773 0.273 0.500
Tc1 0.237 0.737 0.500
Tc2 0.502 0.502 0.000
# energy relative to the lowest polymorph listed for this composition	95.2	meV per atom
# total energy	-36.83	eV for the cell shown
# formation energy	0.1579	eV/atom
# volume	52.1	Å³/cell

# PmDyY3 | Alexandria | PBE | optimized geometry
data_PmDyY3
_chemical_formula_sum 'Pm2 Dy2 Y6'
_cell_length_a 6.325
_cell_length_b 5.699
_cell_length_c 9.669
_cell_angle_alpha 90.00
_cell_angle_beta 109.00
_cell_angle_gamma 90.00
_symmetry_space_group_name_H-M 'P 1'
_symmetry_Int_Tables_number 1
loop_
_symmetry_equiv_pos_as_xyz
'x,y,z'
loop_
_atom_site_label
_atom_site_fract_x
_atom_site_fract_y
_atom_site_fract_z
Pm1 0.133 0.250 0.102
Pm2 0.867 0.750 0.898
Dy1 0.269 0.750 0.699
Dy2 0.731 0.250 0.301
Y1 0.065 0.750 0.302
Y2 0.332 0.250 0.500
Y3 0.465 0.750 0.101
Y4 0.535 0.250 0.899
Y5 0.668 0.750 0.500
Y6 0.935 0.250 0.698
# total energy	-57.41	eV for the cell shown
# formation energy	0.0084	eV/atom
# volume	329.5	Å³/cell